# BaCoTcP2 (PBE-GGA, relaxed)
data_BaCoTcP2
_chemical_formula_sum 'Ba1 Co1 Tc1 P2'
_cell_length_a 3.952
_cell_length_b 3.952
_cell_length_c 6.840
_cell_angle_alpha 106.79
_cell_angle_beta 106.79
_cell_angle_gamma 90.00
_space_group_name_H-M_alt 'P 1'
_space_group_IT_number 1
_space_group_name_Hall 'P 1'
loop_
_atom_site_label
_atom_site_type_symbol
_atom_site_fract_x
_atom_site_fract_y
_atom_site_fract_z
_atom_site_occupancy
P1 P 0.344 0.344 0.687 1
Co1 Co 0.250 0.750 0.500 1
P2 P 0.656 0.656 0.313 1
Ba1 Ba 0.000 0.000 0.000 1
Tc1 Tc 0.750 0.250 0.500 1
# E	-6.883	eV/atom
# volume	98	Å³/cell
# DOS at the Fermi energy	2.563	states/eV/f.u.
# SG	No. 119